1.
# CaBe2Co

An optimized crystal structure of CaBe2Co (PBE-GGA, Alexandria via LeMat-Bulk).

E: -3.567 eV/atom
ΔE to the lowest computed polymorph: 604 meV per atom
Theoretical density: 3.50 Mg/m³
ΔE_f: 2.29 eV per formula unit

a b c (Å): 4.2818 4.2818 4.2818
angles (deg): 119.93 119.93 90.12
Last column: nearest neighbours and their distance in Å.
Atoms (fractional coordinates):
Be: 0.0000 0.0000 0.0000  4 Co 2.62, 4 Be 2.62
Be: 0.2500 0.7500 0.5000  4 Ca 2.62, 4 Be 2.62
Ca: 0.5000 0.5000 0.0000  4 Be 2.62, 4 Co 2.62
Co: 0.7500 0.2500 0.5000  4 Be 2.62, 4 Ca 2.62



2.
# CaBeCo3

An optimized crystal structure of CaBeCo3 (PBE-GGA, Alexandria via LeMat-Bulk).

E: -3.270 eV/atom
ΔE to the lowest computed polymorph: 1784 meV per atom
Theoretical density: 4.34 Mg/m³
ΔE_f: 10.69 eV per formula unit

a b c (Å): 4.4203 4.4203 4.4203
angles (deg): 90.00 90.00 90.00
Last column: nearest neighbours and their distance in Å.
Atoms (fractional coordinates):
Be: 0.5000 0.5000 0.5000  12 Co 3.13
Ca: 0.0000 0.0000 0.0000  6 Co 2.21
Co: 0.0000 0.5000 0.0000  2 Ca 2.21
Co: 0.0000 0.0000 0.5000  2 Ca 2.21
Co: 0.5000 0.0000 0.0000  2 Ca 2.21



3.
# CaBe2Co

An optimized crystal structure of CaBe2Co (PBE-GGA, Alexandria via LeMat-Bulk).

E: -3.920 eV/atom
ΔE to the lowest computed polymorph: 251 meV per atom
Theoretical density: 3.37 Mg/m³
ΔE_f: 0.88 eV per formula unit

a b c (Å): 3.4962 2.8648 5.9079
angles (deg): 76.91 90.00 90.00
Last column: nearest neighbours and their distance in Å.
Atoms (fractional coordinates):
Be: 0.0000 0.1981 0.9589  2 Be 2.11, 4 Co 2.28-2.31
Be: 0.5000 0.1094 0.1635  2 Be 2.11, 2 Co 2.13
Ca: 0.0000 0.4559 0.4882  5 Be 2.71-2.93, 2 Ca 2.86
Co: 0.5000 0.7366 0.8894  6 Be 2.13-2.31



4.
# CaBe2Co

An optimized crystal structure of CaBe2Co (PBE-GGA, Alexandria via LeMat-Bulk).

E: -3.996 eV/atom
ΔE to the lowest computed polymorph: 175 meV per atom
Theoretical density: 3.61 Mg/m³
ΔE_f: 0.57 eV per formula unit

a b c (Å): 2.8931 2.8932 6.4256
angles (deg): 90.00 90.00 89.99
Last column: nearest neighbours and their distance in Å.
Atoms (fractional coordinates):
Be: 0.0000 0.0000 0.9120  1 Be 2.08, 4 Co 2.30
Be: 0.0000 0.0000 0.5880  1 Be 2.08, 4 Co 2.30
Ca: 0.5000 0.5000 0.2500  4 Ca 2.89, 8 Be 2.98, 2 Co 3.21
Co: 0.5000 0.5000 0.7500  8 Be 2.30



5.
# CaBe4Co

An optimized crystal structure of CaBe4Co (PBE-GGA, Alexandria via LeMat-Bulk).

E: -3.841 eV/atom
Theoretical density: 3.28 Mg/m³
ΔE_f: 0.96 eV per formula unit

a b c (Å): 4.5887 4.5887 4.5887
angles (deg): 60.00 60.00 60.00
Last column: nearest neighbours and their distance in Å.
Atoms (fractional coordinates):
Ca: 0.2500 0.2500 0.2500  12 Be 2.70, 4 Co 2.81
Be: 0.6291 0.6291 0.1128  6 Be 2.22-2.37
Be: 0.6291 0.1128 0.6291  6 Be 2.22-2.37
Be: 0.6291 0.6291 0.6291  6 Be 2.22-2.37
Be: 0.1128 0.6291 0.6291  6 Be 2.22-2.37
Co: 0.0000 0.0000 0.0000  12 Be 2.68, 4 Ca 2.81



6.
# CaBe2CoI

An optimized crystal structure of CaBe2CoI (PBE-GGA, Alexandria via LeMat-Bulk).

E: -2.392 eV/atom
ΔE_f (raw): 1.2298 eV/atom
Theoretical density: 3.63 Mg/m³

a b c (Å): 4.9060 4.6385 4.9060
angles (deg): 90.00 90.00 90.00
Last column: nearest neighbours and their distance in Å.
Atoms (fractional coordinates):
I: 0.0000 0.0000 0.0000  2 Co 2.32, 4 Be 2.45
Be: 0.0000 0.0000 0.5000  2 I 2.45
Be: 0.5000 0.0000 0.0000  2 I 2.45
Ca: 0.5000 0.5000 0.5000  8 Be 3.38, 4 Co 3.47
Co: 0.0000 0.5000 0.0000  2 I 2.32



7.
# KCaBe2Co

An optimized crystal structure of KCaBe2Co (PBE-GGA, Alexandria via LeMat-Bulk).

E: -2.749 eV/atom
Theoretical density: 2.63 Mg/m³
ΔE_f: 3.91 eV per formula unit

a b c (Å): 4.3976 5.1068 4.3976
angles (deg): 90.00 90.00 90.00
Last column: nearest neighbours and their distance in Å.
Atoms (fractional coordinates):
Be: 0.0000 0.0000 0.5000  2 Co 2.20
Be: 0.5000 0.0000 0.0000  2 Co 2.20
Ca: 0.5000 0.5000 0.5000  4 K 3.11, 8 Be 3.37
Co: 0.0000 0.0000 0.0000  4 Be 2.20
K: 0.0000 0.5000 0.0000  2 Co 2.55



- E of number 2 (CaBeCo3)?
  -3.270 eV/atom



- Which of these has the highest theoretical density?
  CaBeCo3



- Which value of theoretical density does entry 3 give?
  3.37 Mg/m³



Repeat the third record exactly.
# CaBe2Co

An optimized crystal structure of CaBe2Co (PBE-GGA, Alexandria via LeMat-Bulk).

E: -3.920 eV/atom
ΔE to the lowest computed polymorph: 251 meV per atom
Theoretical density: 3.37 Mg/m³
ΔE_f: 0.88 eV per formula unit

a b c (Å): 3.4962 2.8648 5.9079
angles (deg): 76.91 90.00 90.00
Last column: nearest neighbours and their distance in Å.
Atoms (fractional coordinates):
Be: 0.0000 0.1981 0.9589  2 Be 2.11, 4 Co 2.28-2.31
Be: 0.5000 0.1094 0.1635  2 Be 2.11, 2 Co 2.13
Ca: 0.0000 0.4559 0.4882  5 Be 2.71-2.93, 2 Ca 2.86
Co: 0.5000 0.7366 0.8894  6 Be 2.13-2.31